# 1
VASP calculation (PBE) on a relaxed structure of BiBMo3.

Output
energy of formation from the pure elements = 3404 meV per atom
space group = No. 221
uncorrected energy = -5.21 eV/atom
energy above the most stable polymorph in this dataset = 2957.2 meV/atom

abc: 5.018 5.018 5.018
angles: 90.00 90.00 90.00
Positions (direct):
Bi 0.000 0.000 0.000
B 0.500 0.500 0.500
Mo 0.000 0.000 0.500
Mo 0.000 0.500 0.000
Mo 0.500 0.000 0.000

***

# 2
VASP calculation (PBE) on a relaxed structure of LaPO4F.

Output
space group = No. 12
uncorrected formation energy = -2.73 eV/atom
uncorrected energy = -7.31 eV/atom

abc: 6.075 6.075 6.756
angles: 101.93 101.93 75.33
Positions (direct):
La 0.207 0.207 0.125
La 0.793 0.793 0.875
P 0.357 0.357 0.736
P 0.643 0.643 0.264
O 0.143 0.476 0.841
O 0.288 0.288 0.505
O 0.476 0.143 0.841
O 0.478 0.478 0.229
O 0.522 0.522 0.771
O 0.524 0.857 0.159
O 0.712 0.712 0.495
O 0.857 0.524 0.159
F 0.021 0.021 0.817
F 0.979 0.979 0.183

***

# 3
VASP calculation (PBE) on a relaxed structure of Cs2RbHg.

Output
energy of formation from the pure elements = -123 meV per atom
space group = No. 14
uncorrected energy = -0.87 eV/atom
energy above the most stable polymorph in this dataset = 0.0 meV/atom

abc: 12.966 9.120 11.242
angles: 90.00 115.44 90.00
Positions (direct):
Cs 0.157 0.250 0.080
Cs 0.157 0.250 0.580
Cs 0.221 0.704 0.362
Cs 0.221 0.796 0.862
Cs 0.779 0.204 0.138
Cs 0.779 0.296 0.638
Cs 0.843 0.750 0.420
Cs 0.843 0.750 0.920
Rb 0.500 0.000 0.305
Rb 0.500 0.000 0.695
Rb 0.500 0.500 0.195
Rb 0.500 0.500 0.805
Hg 0.428 0.147 0.965
Hg 0.428 0.353 0.465
Hg 0.572 0.647 0.535
Hg 0.572 0.853 0.035

***

# 4
VASP calculation (PBE) on a relaxed structure of Zr2Te6Pd.

Output
space group = No. 136
uncorrected formation energy = -0.48 eV/atom
uncorrected energy = -5.05 eV/atom

abc: 6.777 6.777 12.268
angles: 90.00 90.00 90.00
Positions (direct):
Zr 0.000 0.000 0.155
Zr 0.000 0.000 0.845
Zr 0.500 0.500 0.345
Zr 0.500 0.500 0.655
Te 0.193 0.193 0.333
Te 0.193 0.193 0.667
Te 0.216 0.216 0.000
Te 0.284 0.716 0.500
Te 0.307 0.693 0.167
Te 0.307 0.693 0.833
Te 0.693 0.307 0.167
Te 0.693 0.307 0.833
Te 0.716 0.284 0.500
Te 0.784 0.784 0.000
Te 0.807 0.807 0.333
Te 0.807 0.807 0.667
Pd 0.000 0.000 0.500
Pd 0.500 0.500 0.000

***

# 5
VASP calculation (PBE) on a relaxed structure of Pm8Y4Tm3.

Output
energy of formation from the pure elements = 343 meV per atom
space group = No. 12
uncorrected energy = -4.81 eV/atom

abc: 9.147 9.147 6.902
angles: 110.60 110.60 83.08
Positions (direct):
Pm 0.201 0.201 0.173
Pm 0.204 0.796 0.000
Pm 0.252 0.748 0.500
Pm 0.255 0.255 0.707
Pm 0.745 0.745 0.293
Pm 0.748 0.252 0.500
Pm 0.796 0.204 0.000
Pm 0.799 0.799 0.827
Y 0.000 0.500 0.000
Y 0.500 0.000 0.000
Y 0.500 0.500 0.000
Y 0.500 0.500 0.500
Tm 0.000 0.000 0.500
Tm 0.000 0.500 0.500
Tm 0.500 0.000 0.500

***

# 6
VASP calculation (PBE) on a relaxed structure of CsSc2Zn.

Output
energy of formation from the pure elements = 338 meV per atom
space group = No. 166
uncorrected energy = -3.36 eV/atom
energy above the most stable polymorph in this dataset = 0.0 meV/atom

abc: 11.300 11.300 11.300
angles: 17.65 17.65 17.65
Positions (direct):
Cs 0.000 0.000 0.000
Sc 0.106 0.106 0.106
Sc 0.894 0.894 0.894
Zn 0.500 0.500 0.500

***

# 7
VASP calculation (PBE) on a relaxed structure of PmPr7Tm4.

Output
energy of formation from the pure elements = 6 meV per atom
space group = No. 2
uncorrected energy = -4.67 eV/atom
energy above the most stable polymorph in this dataset = 0.0 meV/atom

abc: 6.353 7.325 9.021
angles: 89.98 76.47 89.95
Positions (direct):
Pm 0.000 0.000 0.000
Pr 0.000 0.500 0.000
Pr 0.223 0.000 0.335
Pr 0.282 0.252 0.664
Pr 0.499 0.746 0.996
Pr 0.501 0.254 0.004
Pr 0.718 0.748 0.336
Pr 0.777 0.000 0.665
Tm 0.218 0.500 0.337
Tm 0.277 0.744 0.666
Tm 0.723 0.256 0.334
Tm 0.782 0.500 0.663

***

# 8
VASP calculation (PBE) on a relaxed structure of Ta4MoSe10.

Output
space group = No. 160
uncorrected formation energy = -0.78 eV/atom
uncorrected energy = -6.99 eV/atom
energy above the most stable polymorph in this dataset = 10.0 meV/atom

abc: 34.511 34.511 34.511
angles: 5.72 5.72 5.72
Positions (direct):
Ta 0.000 0.000 0.000
Ta 0.200 0.200 0.200
Ta 0.400 0.400 0.400
Ta 0.600 0.600 0.600
Mo 0.800 0.800 0.800
Se 0.117 0.117 0.117
Se 0.149 0.149 0.149
Se 0.317 0.317 0.317
Se 0.350 0.350 0.350
Se 0.517 0.517 0.517
Se 0.549 0.549 0.549
Se 0.717 0.717 0.717
Se 0.750 0.750 0.750
Se 0.917 0.917 0.917
Se 0.950 0.950 0.950

***

> Which value of uncorrected energy does entry 3 give?

-0.87 eV/atom